# 1
This record from the Alexandria database describes a relaxed structure of Mg2SbOs. The functional is GGA-PBE.

Geometry as POSCAR:
```
Mg2SbOs
1.0
4.9886 0.0016 0.0033
3.9215 3.0836 0.0033
0.8866 0.3070 4.8857
Mg Os Sb
2 1 1
direct
0.9988 0.9988 0.0184
0.2346 0.2346 0.2626
0.4967 0.4967 0.5086
0.7698 0.7698 0.7104
```

Calculated values
**ΔE_f (raw)**: 138 meV/atom

---

# 2
This record from the Alexandria database describes a relaxed structure of TlFe2PdBr8. The functional is GGA-PBE.

Geometry as POSCAR:
```
TlFe2PdBr8
1.0
-2.8581 -4.7502 -3.6685
-0.1842 -5.6601 3.4814
-8.8652 1.4527 3.5002
Tl Fe Pd Br
1 2 1 8
direct
0.0000 0.0000 0.5000
0.6213 0.6213 0.2207
0.3787 0.3787 0.7793
0.0000 0.0000 0.0000
0.7565 0.2592 0.7931
0.7636 0.7636 0.0145
0.6997 0.6997 0.4381
0.3003 0.3003 0.5619
0.2364 0.2364 0.9855
0.2592 0.7565 0.7931
0.7408 0.2435 0.2069
0.2435 0.7408 0.2069
```

Calculated values
**ΔE_f (raw)**: -478 meV/atom

---

# 3
This record from the Alexandria database describes a relaxed structure of NdHfPa. The functional is GGA-PBE.

Geometry as POSCAR:
```
NdHfPa
1.0
4.4830 -0.8631 0.1132
0.8725 4.4811 0.1132
0.4656 0.3146 8.3000
Nd Hf Pa
2 2 2
direct
0.7080 0.7080 0.3439
0.2920 0.2920 0.6561
0.7831 0.7831 0.7534
0.2169 0.2169 0.2466
0.2490 0.7510 0.0000
0.7510 0.2490 0.0000
```

Calculated values
**Energy of formation**: 318.7 meV per atom

---

# 4
This record from the Alexandria database describes a relaxed structure of ErMg2Hg. The functional is GGA-PBE.

Geometry as POSCAR:
```
ErMg2Hg
1.0
-1.5281 -2.6745 3.7483
3.7435 0.8997 2.1680
-1.8902 3.5750 1.7803
Mg Hg Er
2 1 1
direct
0.0000 0.0000 0.5000
0.0000 0.5000 0.0000
0.5000 0.0000 0.0000
0.5000 0.5000 0.5000
```

Calculated values
**Excess energy over the best structure of this formula in the dataset**: 13 meV per atom
**Energy of formation**: -237.6 meV per atom

---

# 5
This record from the Alexandria database describes a relaxed structure of RePdC2. The functional is GGA-PBE.

Geometry as POSCAR:
```
RePdC2
1.0
-2.9352 3.4275 1.4102
-3.4908 -1.9522 -2.5209
-4.4428 -1.8363 3.1408
Re C Pd
2 4 2
direct
0.0000 0.0000 0.0000
0.7500 0.2500 0.5000
0.6585 0.1250 0.2500
0.0915 0.6250 0.2500
0.3750 0.3415 0.7500
0.8750 0.9085 0.7500
0.5000 0.5000 0.0000
0.2500 0.7500 0.5000
```

Calculated values
**Excess energy over the best structure of this formula in the dataset**: 0 meV per atom
**Energy of formation**: 708.5 meV per atom

---

# 6
This record from the Alexandria database describes a relaxed structure of Cs4P2Pt5. The functional is GGA-PBE.

Geometry as POSCAR:
```
Cs4P2Pt5
1.0
-3.6160 -3.6412 2.9735
-1.2781 -3.3389 -5.6428
6.5551 -3.3628 3.8534
Cs P Pt
4 2 5
direct
0.5000 0.2746 0.5635
0.5000 0.2681 0.0579
0.5000 0.7254 0.4365
0.5000 0.7319 0.9421
0.0000 0.0046 0.7774
0.0000 0.9954 0.2226
0.0000 0.6342 0.1651
0.0000 0.3573 0.3417
0.0000 0.0000 0.5000
0.0000 0.6427 0.6583
0.0000 0.3658 0.8349
```

Calculated values
**Energy of formation**: -201.0 meV per atom

---

# 7
This record from the Alexandria database describes a relaxed structure of Sr3TbRhO6. The functional is GGA-PBE.

Geometry as POSCAR:
```
Sr3TbRhO6
1.0
-2.4875 -5.4144 -3.4128
6.4719 -1.6510 -1.5932
0.2843 -3.5231 5.8870
Sr Tb Rh O
6 2 2 12
direct
0.8811 0.6189 0.2500
0.6189 0.2500 0.8811
0.2500 0.8811 0.6189
0.1189 0.3811 0.7500
0.7500 0.1189 0.3811
0.3811 0.7500 0.1189
0.7500 0.7500 0.7500
0.2500 0.2500 0.2500
0.5000 0.5000 0.5000
0.0000 0.0000 0.0000
0.5897 0.7920 0.4552
0.4552 0.5897 0.7920
0.7920 0.4552 0.5897
0.9103 0.0448 0.7080
0.7080 0.9103 0.0448
0.0448 0.7080 0.9103
0.4103 0.2080 0.5448
0.5448 0.4103 0.2080
0.2080 0.5448 0.4103
0.0897 0.9552 0.2920
0.9552 0.2920 0.0897
0.2920 0.0897 0.9552
```

Calculated values
**ΔE_f (raw)**: -2541 meV/atom

---

# 8
This record from the Alexandria database describes a relaxed structure of Tc2SnOsF. The functional is GGA-PBE.

Geometry as POSCAR:
```
Tc2SnOsF
1.0
-3.2667 1.9455 -3.2774
-2.9775 -1.8978 1.8412
-0.6624 3.9610 3.0115
F Os Sn Tc
1 1 1 2
direct
0.0000 0.5000 0.0000
0.5000 0.5000 0.5000
0.0000 0.0000 0.0000
0.0000 0.0000 0.5000
0.5000 0.0000 0.0000
```

Calculated values
**ΔE_f (raw)**: 1600 meV/atom

---

# 9
This record from the Alexandria database describes a relaxed structure of ZnTc2Au. The functional is GGA-PBE.

Geometry as POSCAR:
```
ZnTc2Au
1.0
2.9287 0.0000 0.0000
0.0000 2.9287 0.0000
0.0000 0.0000 7.2990
Au Tc Zn
1 2 1
direct
0.5000 0.5000 0.7406
0.0000 0.0000 0.0357
0.5000 0.5000 0.2368
0.0000 0.0000 0.4869
```

Calculated values
**Energy of formation**: 31.9 meV per atom

---

# 10
This record from the Alexandria database describes a relaxed structure of AcTb4DyS8. The functional is GGA-PBE.

Geometry as POSCAR:
```
AcTb4DyS8
1.0
-1.4645 -6.7976 -4.3427
5.4935 -6.0850 -0.0662
-1.6395 -7.0446 3.8413
Ac Tb Dy S
1 4 1 8
direct
0.3751 0.3751 0.8748
0.6247 0.6247 0.1259
0.9978 0.5065 0.4980
0.5065 0.9978 0.4980
0.9978 0.9978 0.4980
0.9980 0.9980 0.0060
0.2343 0.7952 0.7362
0.7952 0.2343 0.7362
0.2343 0.2343 0.7362
0.2350 0.2350 0.2949
0.7575 0.2302 0.2548
0.2302 0.7575 0.2548
0.7575 0.7575 0.2548
0.7561 0.7561 0.7317
```

Calculated values
**ΔE_f (raw)**: -1932 meV/atom

---

# 11
This record from the Alexandria database describes a relaxed structure of TlAgAs. The functional is GGA-PBE.

Geometry as POSCAR:
```
TlAgAs
1.0
-1.4543 -2.2577 -1.7588
3.1673 0.4500 -0.2668
1.1933 -5.1015 5.5622
Tl As Ag
1 1 1
direct
0.3333 0.6667 0.6718
0.6667 0.3333 0.3010
0.0000 0.0000 0.0272
```

Calculated values
**Excess energy over the best structure of this formula in the dataset**: 178 meV per atom
**Energy of formation**: 249.4 meV per atom

---

# 12
This record from the Alexandria database describes a relaxed structure of LaMgRh. The functional is GGA-PBE.

Geometry as POSCAR:
```
LaMgRh
1.0
4.2227 0.0000 0.0000
0.0000 7.4797 0.0068
0.0000 -0.0111 12.9364
La Mg Rh
6 6 6
direct
0.7500 0.5389 0.3771
0.2500 0.9578 0.7142
0.7500 0.0422 0.2858
0.7500 0.6600 0.0831
0.2500 0.4611 0.6229
0.2500 0.3400 0.9169
0.2500 0.0050 0.0831
0.2500 0.8666 0.4617
0.7500 0.6326 0.8008
0.7500 0.1334 0.5383
0.2500 0.3674 0.1992
0.7500 0.9950 0.9169
0.2500 0.7523 0.9195
0.7500 0.2529 0.7510
0.7500 0.7507 0.5833
0.7500 0.2477 0.0805
0.2500 0.2493 0.4167
0.2500 0.7471 0.2490
```

Calculated values
**Energy of formation**: -628.3 meV per atom